[1]
Entry from Alexandria via LeMat-Bulk: crystalline SrAlSi at its relaxed geometry (PBE). Values from VASP.

```
&SYSTEM
  ibrav = 0, nat = 3, ntyp = 3
/
ATOMIC_SPECIES
Sr 87.62 Sr.upf
Al 26.98 Al.upf
Si 28.09 Si.upf
ATOMIC_POSITIONS angstrom
Sr 0.0000 0.0000 0.0000
Al 0.0000 0.0000 8.0653
Si 0.0000 0.0000 3.4233
CELL_PARAMETERS angstrom
-1.6647 1.8601 5.6859
1.6647 -1.8601 5.6859
1.6647 1.8601 -5.6859
```



[2]
Entry from Alexandria via LeMat-Bulk: crystalline SrAlSi2 at its relaxed geometry (PBE). Values from VASP.

```
&SYSTEM
  ibrav = 0, nat = 4, ntyp = 3
/
ATOMIC_SPECIES
Sr 87.62 Sr.upf
Al 26.98 Al.upf
Si 28.09 Si.upf
ATOMIC_POSITIONS angstrom
Sr 0.0000 0.0000 0.0000
Al 0.0000 0.0000 8.1741
Si 0.0000 0.0000 3.3535
Si 0.0000 0.0000 12.9947
CELL_PARAMETERS angstrom
2.1717 1.2538 5.4494
-2.1717 1.2538 5.4494
0.0000 -2.5077 5.4494
```



[3]
Entry from Alexandria via LeMat-Bulk: crystalline SrAlSi2 at its relaxed geometry (PBE). Values from VASP.

```
&SYSTEM
  ibrav = 0, nat = 4, ntyp = 3
/
ATOMIC_SPECIES
Sr 87.62 Sr.upf
Al 26.98 Al.upf
Si 28.09 Si.upf
ATOMIC_POSITIONS angstrom
Sr 0.0000 0.0000 0.0000
Al 1.8587 0.0000 3.2220
Si 0.0000 0.0000 7.5169
Si 0.0000 2.0669 3.1890
CELL_PARAMETERS angstrom
-1.8587 2.0669 5.9405
1.8587 -2.0669 5.9405
1.8587 2.0669 -5.9405
```



[4]
Entry from Alexandria via LeMat-Bulk: crystalline SrAlSi2 at its relaxed geometry (PBE). Values from VASP.

```
&SYSTEM
  ibrav = 0, nat = 4, ntyp = 3
/
ATOMIC_SPECIES
Sr 87.62 Sr.upf
Al 26.98 Al.upf
Si 28.09 Si.upf
ATOMIC_POSITIONS angstrom
Sr 0.0000 0.0000 0.0000
Al 0.0000 0.0000 3.3151
Si 1.7740 1.7740 2.1360
Si 1.7740 1.7740 4.4941
CELL_PARAMETERS angstrom
3.5480 0.0000 0.0000
0.0000 3.5480 0.0000
0.0000 0.0000 6.6302
```



[5]
Entry from Alexandria via LeMat-Bulk: crystalline SrAlSi at its relaxed geometry (PBE). Values from VASP.

```
&SYSTEM
  ibrav = 0, nat = 3, ntyp = 3
/
ATOMIC_SPECIES
Sr 87.62 Sr.upf
Al 26.98 Al.upf
Si 28.09 Si.upf
ATOMIC_POSITIONS angstrom
Sr 0.0000 0.0000 0.0000
Al 5.0349 5.0349 5.0349
Si 3.3566 3.3566 3.3566
CELL_PARAMETERS angstrom
0.0000 3.3566 3.3566
3.3566 0.0000 3.3566
3.3566 3.3566 0.0000
```



[6]
Entry from Alexandria via LeMat-Bulk: crystalline SrAlSi2 at its relaxed geometry (PBE). Values from VASP.

```
&SYSTEM
  ibrav = 0, nat = 4, ntyp = 3
/
ATOMIC_SPECIES
Sr 87.62 Sr.upf
Al 26.98 Al.upf
Si 28.09 Si.upf
ATOMIC_POSITIONS angstrom
Sr 0.0000 0.0000 0.0000
Al 2.2268 2.2268 0.0000
Si 0.0000 2.2268 2.0901
Si 2.2268 0.0000 2.0901
CELL_PARAMETERS angstrom
4.4536 0.0000 0.0000
0.0000 4.4536 0.0000
0.0000 0.0000 4.1803
```



In kJ/mol of formula units, the energy relative to the elements, uncorrected values for the records above are, in order, -26, -56, -51, -45, 39, 43.